Li2CdRh after structural relaxation. Source: Alexandria, functional PBE.

CIF file:
```
data_Li2CdRh
_cell_length_a 6.9760
_cell_length_b 6.9760
_cell_length_c 5.6156
_cell_angle_alpha 51.60
_cell_angle_beta 51.60
_cell_angle_gamma 90.00
_space_group_name_H-M_alt 'P 1'
_space_group_IT_number 1
loop_
_space_group_symop_operation_xyz
'x,y,z'
loop_
_atom_site_label
_atom_site_fract_x
_atom_site_fract_y
_atom_site_fract_z
Li1 0.8750 0.8555 0.7500
Cd1 0.7500 0.2500 0.5000
Rh1 0.5000 0.5000 0.0000
Cd2 0.0000 0.0000 0.0000
Rh2 0.2500 0.7500 0.5000
Li2 0.1445 0.6250 0.2500
Li3 0.3750 0.3945 0.7500
Li4 0.6055 0.1250 0.2500
```

* Fermi-level density of states: 1.7 states/eV/f.u.
* V: 131 Å³ per cell
* energy of formation from the pure elements: 0.10 eV/f.u.
* M_tot: 0.00 μB per formula unit

Li2Cd9Rh after structural relaxation. Source: Alexandria, functional PBE.

CIF file:
```
data_Li2Cd9Rh
_cell_length_a 4.6533
_cell_length_b 7.4783
_cell_length_c 7.7967
_cell_angle_alpha 69.30
_cell_angle_beta 72.82
_cell_angle_gamma 72.58
_space_group_name_H-M_alt 'P 1'
_space_group_IT_number 1
loop_
_space_group_symop_operation_xyz
'x,y,z'
loop_
_atom_site_label
_atom_site_fract_x
_atom_site_fract_y
_atom_site_fract_z
Li1 0.8447 0.8079 0.4996
Cd1 0.3363 0.3146 0.0177
Cd2 0.4149 0.9139 0.2560
Rh1 0.0000 0.0000 0.0000
Cd3 0.0799 0.6009 0.2346
Cd4 0.7599 0.2103 0.2734
Li2 0.1553 0.1921 0.5004
Cd5 0.2401 0.7897 0.7266
Cd6 0.5000 0.5000 0.5000
Cd7 0.6637 0.6854 0.9823
Cd8 0.9201 0.3991 0.7654
Cd9 0.5851 0.0861 0.7440
```

* Fermi-level density of states: 3.6 states/eV/f.u.
* V: 237 Å³ per cell
* energy of formation from the pure elements: -1.38 eV/f.u.
* M_tot: 0.00 μB per formula unit

Li8Cd6Rh after structural relaxation. Source: Alexandria, functional PBE.

CIF file:
```
data_Li8Cd6Rh
_cell_length_a 7.8915
_cell_length_b 7.8915
_cell_length_c 6.7598
_cell_angle_alpha 54.29
_cell_angle_beta 54.29
_cell_angle_gamma 60.00
_space_group_name_H-M_alt 'P 1'
_space_group_IT_number 1
loop_
_space_group_symop_operation_xyz
'x,y,z'
loop_
_atom_site_label
_atom_site_fract_x
_atom_site_fract_y
_atom_site_fract_z
Cd1 0.4246 0.1694 0.7738
Cd2 0.1694 0.6321 0.7738
Li1 0.8696 0.0510 0.7158
Cd3 0.8306 0.3679 0.2262
Li2 0.2424 0.2424 0.2728
Cd4 0.6321 0.4246 0.7738
Li3 0.6364 0.1304 0.2842
Li4 0.3636 0.8696 0.7158
Cd5 0.3679 0.5754 0.2262
Li5 0.7576 0.7576 0.7272
Rh1 0.0000 0.0000 0.0000
Cd6 0.5754 0.8306 0.2262
Li6 0.9490 0.6364 0.2842
Li7 0.0510 0.3636 0.7158
Li8 0.1304 0.9490 0.2842
```

* Fermi-level density of states: 5.8 states/eV/f.u.
* relative energy among the computed polymorphs: 0.065 eV/atom
* V: 269 Å³ per cell
* energy of formation from the pure elements: -1.64 eV/f.u.
* M_tot: 0.00 μB per formula unit

Li2CdRh after structural relaxation. Source: Alexandria, functional PBE.

CIF file:
```
data_Li2CdRh
_cell_length_a 2.7644
_cell_length_b 2.7644
_cell_length_c 9.1424
_cell_angle_alpha 90.00
_cell_angle_beta 90.00
_cell_angle_gamma 112.72
_space_group_name_H-M_alt 'P 1'
_space_group_IT_number 1
loop_
_space_group_symop_operation_xyz
'x,y,z'
loop_
_atom_site_label
_atom_site_fract_x
_atom_site_fract_y
_atom_site_fract_z
Rh1 0.5000 0.5000 0.2500
Li1 0.0000 0.0000 0.4677
Li2 0.0000 0.0000 0.0323
Cd1 0.5000 0.5000 0.7500
```

* Fermi-level density of states: 2.8 states/eV/f.u.
* V: 64 Å³ per cell
* energy of formation from the pure elements: -0.43 eV/f.u.
* M_tot: 0.15 μB per formula unit

LiCd6Rh3 after structural relaxation. Source: Alexandria, functional PBE.

CIF file:
```
data_LiCd6Rh3
_cell_length_a 4.4507
_cell_length_b 8.5749
_cell_length_c 9.5657
_cell_angle_alpha 98.07
_cell_angle_beta 90.00
_cell_angle_gamma 90.00
_space_group_name_H-M_alt 'P 1'
_space_group_IT_number 1
loop_
_space_group_symop_operation_xyz
'x,y,z'
loop_
_atom_site_label
_atom_site_fract_x
_atom_site_fract_y
_atom_site_fract_z
Rh1 0.2500 0.5506 0.3969
Cd1 0.7500 0.7357 0.4836
Cd2 0.2500 0.8313 0.2820
Li1 0.7500 0.0558 0.3997
Cd3 0.2500 0.4639 0.0977
Cd4 0.2500 0.0635 0.9050
Cd5 0.7500 0.8416 0.7915
Cd6 0.2500 0.1584 0.2085
Cd7 0.2500 0.6291 0.6886
Cd8 0.7500 0.9365 0.0950
Cd9 0.7500 0.3709 0.3114
Cd10 0.7500 0.1687 0.7180
Rh2 0.7500 0.2487 0.0254
Rh3 0.2500 0.7513 0.9746
Li2 0.2500 0.9442 0.6003
Cd11 0.7500 0.5361 0.9023
Cd12 0.2500 0.2643 0.5164
Rh4 0.2500 0.3507 0.8076
Rh5 0.7500 0.6493 0.1924
Rh6 0.7500 0.4494 0.6031
```

* Fermi-level density of states: 3.2 states/eV/f.u.
* V: 361 Å³ per cell
* energy of formation from the pure elements: -1.42 eV/f.u.
* M_tot: 0.00 μB per formula unit

Li3Cd3Rh after structural relaxation. Source: Alexandria, functional PBE.

CIF file:
```
data_Li3Cd3Rh
_cell_length_a 6.5854
_cell_length_b 6.5854
_cell_length_c 6.1164
_cell_angle_alpha 90.00
_cell_angle_beta 90.00
_cell_angle_gamma 87.76
_space_group_name_H-M_alt 'P 1'
_space_group_IT_number 1
loop_
_space_group_symop_operation_xyz
'x,y,z'
loop_
_atom_site_label
_atom_site_fract_x
_atom_site_fract_y
_atom_site_fract_z
Li1 0.2481 0.2481 0.4999
Rh1 0.2499 0.2499 0.0001
Li2 0.3515 0.6485 0.0000
Li3 0.6841 0.3159 0.5000
Cd1 0.5000 0.0000 0.7523
Cd2 0.0000 0.5000 0.7523
Li4 0.3159 0.6841 0.5000
Li5 0.6485 0.3515 0.0000
Cd3 0.5000 0.0000 0.2477
Li6 0.7519 0.7519 0.5001
Cd4 0.0000 0.0000 0.7563
Cd5 0.0000 0.5000 0.2477
Rh2 0.7501 0.7501 0.9999
Cd6 0.0000 0.0000 0.2437
```

* Fermi-level density of states: 2.4 states/eV/f.u.
* relative energy among the computed polymorphs: 0.000 eV/atom
* V: 265 Å³ per cell
* energy of formation from the pure elements: -1.11 eV/f.u.
* M_tot: 0.00 μB per formula unit

LiCdSbRh after structural relaxation. Source: Alexandria, functional PBE.

CIF file:
```
data_LiCdSbRh
_cell_length_a 4.6255
_cell_length_b 4.6255
_cell_length_c 4.6255
_cell_angle_alpha 60.00
_cell_angle_beta 60.00
_cell_angle_gamma 60.00
_space_group_name_H-M_alt 'P 1'
_space_group_IT_number 1
loop_
_space_group_symop_operation_xyz
'x,y,z'
loop_
_atom_site_label
_atom_site_fract_x
_atom_site_fract_y
_atom_site_fract_z
Rh1 0.5000 0.5000 0.5000
Sb1 0.2500 0.2500 0.2500
Cd1 0.7500 0.7500 0.7500
Li1 0.0000 0.0000 0.0000
```

* uncorrected energy: -15.770 eV/cell
* Fermi-level density of states: 1.4 states/eV/f.u.
* V: 70 Å³ per cell
* M_tot: 0.00 μB per formula unit

LiCdRh2Se after structural relaxation. Source: Alexandria, functional PBE.

CIF file:
```
data_LiCdRh2Se
_cell_length_a 4.9345
_cell_length_b 4.4160
_cell_length_c 4.9345
_cell_angle_alpha 90.00
_cell_angle_beta 90.00
_cell_angle_gamma 90.00
_space_group_name_H-M_alt 'P 1'
_space_group_IT_number 1
loop_
_space_group_symop_operation_xyz
'x,y,z'
loop_
_atom_site_label
_atom_site_fract_x
_atom_site_fract_y
_atom_site_fract_z
Rh1 0.5000 0.0000 0.0000
Se1 0.5000 0.5000 0.5000
Li1 0.0000 0.5000 0.0000
Rh2 0.0000 0.0000 0.5000
Cd1 0.0000 0.0000 0.0000
```

* uncorrected energy: -16.416 eV/cell
* Fermi-level density of states: 5.0 states/eV/f.u.
* V: 108 Å³ per cell
* M_tot: 0.91 μB per formula unit